DFT (PBE) results for an optimized crystal structure of Ag2B2F7.

Energy relative to the elements, uncorrected   -2.052 eV per atom
Total energy   -109.5 eV per cell
DOS(E_F)   0.26 states/eV per atom

a = 6.501 Å, b = 9.944 Å, c = 5.569 Å
α = 90.00°, β = 101.17°, γ = 90.00°
Space group C2/m (No. 12)
Unique sites:
Ag 0.000 0.225 0.000 x4
B 0.237 0.500 0.486 x4
F 0.000 0.500 0.500 x2
F 0.162 0.000 0.270 x4
F 0.235 0.117 0.637 x8